Below is a relaxed structure of BaPPtS2, with properties calculated at the PBE level.

Output
Crystal system ... tetragonal
Electronic total energy ... -2.825 eV/atom
Relative energy among the computed polymorphs ... 2081 meV/atom
ΔE_f (raw) ... 7.503 eV per formula unit

```
data_BaPPtS2
_cell_length_a 5.838
_cell_length_b 5.838
_cell_length_c 6.024
_cell_angle_alpha 90.00
_cell_angle_beta 90.00
_cell_angle_gamma 90.00
_space_group_name_H-M_alt 'P 4/m m m'
_space_group_IT_number 123
_space_group_name_Hall '-P 4 2'
loop_
_atom_site_label
_atom_site_type_symbol
_atom_site_fract_x
_atom_site_fract_y
_atom_site_fract_z
Ba1 Ba 0.000 0.000 0.000
P1 P 0.000 0.000 0.500
Pt1 Pt 0.500 0.500 0.500
S1 S 0.000 0.500 0.000
```